(1)
# Sm5Si4, optimized geometry, DFT GGA-PBEsol
data_Sm5Si4
_chemical_formula_sum 'Sm20 Si16'
_cell_length_a 7.5600
_cell_length_b 14.7608
_cell_length_c 7.7603
_cell_angle_alpha 90.00
_cell_angle_beta 90.00
_cell_angle_gamma 90.00
_space_group_name_H-M_alt 'P n m a'
_space_group_IT_number 62
loop_
_space_group_symop_operation_xyz
'x,y,z'
'-x,-y,-z'
'-x+1/2,-y,z+1/2'
'x+1/2,y,-z+1/2'
'x+1/2,-y+1/2,-z+1/2'
'-x+1/2,y+1/2,z+1/2'
'-x,y+1/2,-z'
'x,-y+1/2,z'
loop_
_atom_site_label
_atom_site_type_symbol
_atom_site_fract_x
_atom_site_fract_y
_atom_site_fract_z
Sm1 Sm 0.0365 0.1002 0.1857
Sm2 Sm 0.1416 0.7500 0.5108
Sm3 Sm 0.1866 0.1222 0.6808
Si1 Si 0.0179 0.7500 0.1006
Si2 Si 0.1391 0.5407 0.4734
Si3 Si 0.2452 0.2500 0.3764
# DFT total energy: -6.13 eV per atom
# Crystal system: orthorhombic
# Formation energy (no corrections): -0.751 eV/atom

---

(2)
# SmZnSi, optimized geometry, DFT GGA-PBEsol
data_SmZnSi
_chemical_formula_sum 'Sm1 Zn1 Si1'
_cell_length_a 4.0996
_cell_length_b 4.0996
_cell_length_c 4.0982
_cell_angle_alpha 90.00
_cell_angle_beta 90.00
_cell_angle_gamma 120.00
_space_group_name_H-M_alt 'P -6 m 2'
_space_group_IT_number 187
_space_group_name_Hall 'P -6 2'
loop_
_atom_site_label
_atom_site_type_symbol
_atom_site_fract_x
_atom_site_fract_y
_atom_site_fract_z
Sm1 Sm 0.0000 0.0000 0.0000
Zn1 Zn 0.6667 0.3333 0.5000
Si1 Si 0.3333 0.6667 0.5000
# DFT total energy: -4.83 eV per atom
# Crystal system: hexagonal
# Formation energy (no corrections): -0.688 eV/atom

---

(3)
# SiTcSn3, optimized geometry, DFT GGA-PBEsol
data_SiTcSn3
_chemical_formula_sum 'Si1 Tc1 Sn3'
_cell_length_a 5.0463
_cell_length_b 5.0463
_cell_length_c 5.0463
_cell_angle_alpha 90.00
_cell_angle_beta 90.00
_cell_angle_gamma 90.00
_space_group_name_H-M_alt 'P m -3 m'
_space_group_IT_number 221
_space_group_name_Hall '-P 4 2 3'
loop_
_atom_site_label
_atom_site_type_symbol
_atom_site_fract_x
_atom_site_fract_y
_atom_site_fract_z
Si1 Si 0.0000 0.0000 0.0000
Tc1 Tc 0.5000 0.5000 0.5000
Sn1 Sn 0.0000 0.0000 0.5000
# DFT total energy: -4.69 eV per atom
# Crystal system: cubic
# Formation energy (no corrections): 1.264 eV/atom

---

(4)
# SiTc3Sn, optimized geometry, DFT GGA-PBEsol
data_SiTc3Sn
_chemical_formula_sum 'Si1 Tc3 Sn1'
_cell_length_a 4.3936
_cell_length_b 4.3936
_cell_length_c 4.3936
_cell_angle_alpha 90.00
_cell_angle_beta 90.00
_cell_angle_gamma 90.00
_space_group_name_H-M_alt 'P m -3 m'
_space_group_IT_number 221
_space_group_name_Hall '-P 4 2 3'
loop_
_atom_site_label
_atom_site_type_symbol
_atom_site_fract_x
_atom_site_fract_y
_atom_site_fract_z
Si1 Si 0.0000 0.0000 0.0000
Tc1 Tc 0.0000 0.0000 0.5000
Sn1 Sn 0.5000 0.5000 0.5000
# DFT total energy: -8.09 eV per atom
# Crystal system: cubic
# Formation energy (no corrections): 0.669 eV/atom

---

Question: Number 4 is which compound?
Answer: SiTc3Sn

---

Question: What is the formation energy (no corrections) in the third record?
Answer: 1.264 eV/atom